The following is a SCAN calculation of a PBEsol-optimized structure of Mn3VP6O24, from Alexandria.

Summary:
The value obtained for the total energy is -360.87 eV per cell. The formation energy without anion corrections is -2.26 eV per atom.

Cell lengths 8.5372, 8.5372, 8.5372 Å; angles 56.85, 56.85, 56.85 degrees
With the nearest neighbours (Å) after each atom.
Positions (direct):
Mn 0.0000 0.0000 0.0000  6 O 1.85
Mn 0.2141 0.2141 0.2141  6 O 1.86-1.87
Mn 0.5068 0.5068 0.5068  6 O 1.85-1.88
V 0.7212 0.7212 0.7212  6 O 1.83-1.86
P 0.1135 0.8316 0.3885  4 O 1.53-1.55
P 0.3232 0.6119 0.8905  4 O 1.53-1.55
P 0.3885 0.1135 0.8316  4 O 1.53-1.55
P 0.6119 0.8905 0.3232  4 O 1.53-1.55
P 0.8316 0.3885 0.1135  4 O 1.53-1.55
P 0.8905 0.3232 0.6119  4 O 1.53-1.55
O 0.0334 0.3775 0.0814  1 P 1.54
O 0.0447 0.3466 0.3981  1 P 1.54
O 0.0558 0.8571 0.2327  1 P 1.53
O 0.0814 0.0334 0.3775  1 P 1.54
O 0.1154 0.7569 0.9705  1 P 1.53
O 0.2327 0.0558 0.8571  1 P 1.53
O 0.3250 0.6766 0.3697  1 P 1.53
O 0.3408 0.6401 0.6871  1 P 1.55
O 0.3466 0.3981 0.0447  1 P 1.54
O 0.3697 0.3250 0.6766  1 P 1.53
O 0.3775 0.0814 0.0334  1 P 1.54
O 0.3981 0.0447 0.3466  1 P 1.54
O 0.4862 0.6664 0.8581  1 P 1.54
O 0.5956 0.9612 0.7551  1 P 1.55
O 0.6401 0.6871 0.3408  1 P 1.55
O 0.6664 0.8581 0.4862  1 P 1.54
O 0.6766 0.3697 0.3250  1 P 1.53
O 0.6871 0.3408 0.6401  1 P 1.55
O 0.7551 0.5956 0.9612  1 P 1.55
O 0.7569 0.9705 0.1154  1 P 1.53
O 0.8571 0.2327 0.0558  1 P 1.53
O 0.8581 0.4862 0.6664  1 P 1.54
O 0.9612 0.7551 0.5956  1 P 1.55
O 0.9705 0.1154 0.7569  1 P 1.53

***

The following is a SCAN calculation of a PBEsol-optimized structure of LiY2Sc, from Alexandria.

Summary:
For the formation energy, the calculation gives 0.099 eV/atom. The value obtained for the total energy is -71.92 eV per cell.

Cell lengths 3.4969, 3.4969, 8.4411 Å; angles 90.00, 90.00, 90.00 degrees
With the nearest neighbours (Å) after each atom.
Positions (direct):
Li 0.0000 0.0000 0.0000  4 Sc 2.98, 4 Y 3.19
Y 0.0000 0.0000 0.4650  4 Sc 3.35, 8 Y 3.50-3.52
Y 0.5000 0.5000 0.7612  4 Li 3.19, 8 Y 3.50-3.52
Sc 0.5000 0.5000 0.1978  4 Li 2.98

***

The following is a SCAN calculation of a PBEsol-optimized structure of LaTeMo2, from Alexandria.

Summary:
The value obtained for the total energy is -147.67 eV per cell. The formation energy without anion corrections is 0.61 eV per atom.

Cell lengths 5.7246, 5.7246, 5.7246 Å; angles 137.51, 137.51, 61.66 degrees
With the nearest neighbours (Å) after each atom.
Positions (direct):
La 0.0000 0.0000 0.0000  4 Te 2.93, 8 Mo 3.22
Te 0.5000 0.5000 0.0000  4 La 2.93, 8 Mo 3.22
Mo 0.2500 0.7500 0.5000  4 Mo 2.93, 4 Te 3.22, 4 La 3.22
Mo 0.7500 0.2500 0.5000  4 Mo 2.93, 4 Te 3.22, 4 La 3.22

***

The following is a SCAN calculation of a PBEsol-optimized structure of NiRh2, from Alexandria.

Summary:
For the formation energy, the calculation gives 0.044 eV/atom. The value obtained for the total energy is -167.17 eV per cell.

Cell lengths 2.6419, 3.6362, 7.8469 Å; angles 90.00, 90.00, 90.00 degrees
With the nearest neighbours (Å) after each atom.
Positions (direct):
Ni 0.0000 0.0000 0.1618  3 Ni 2.54-2.64, 9 Rh 2.58-2.65
Ni 0.0000 0.0000 0.8382  3 Ni 2.54-2.64, 9 Rh 2.58-2.65
Rh 0.0000 0.0000 0.5000  10 Rh 2.63-2.64, 2 Ni 2.65
Rh 0.5000 0.5000 0.0000  4 Rh 2.56-2.64, 8 Ni 2.58
Rh 0.5000 0.5000 0.3265  8 Rh 2.56-2.72, 4 Ni 2.59
Rh 0.5000 0.5000 0.6735  8 Rh 2.56-2.72, 4 Ni 2.59

***

The following is a SCAN calculation of a PBEsol-optimized structure of CrInCO2, from Alexandria.

Summary:
The value obtained for the total energy is -74.42 eV per cell. The formation energy without anion corrections is -0.02 eV per atom.

Cell lengths 3.4666, 3.4666, 5.7818 Å; angles 90.00, 90.00, 90.00 degrees
With the nearest neighbours (Å) after each atom.
Positions (direct):
Cr 0.0000 0.0000 0.0000  4 O 1.73
In 0.0000 0.0000 0.5000  4 C 2.45
C 0.5000 0.5000 0.5000  4 In 2.45
O 0.0000 0.5000 0.0000  2 Cr 1.73
O 0.5000 0.0000 0.0000  2 Cr 1.73

***

The following is a SCAN calculation of a PBEsol-optimized structure of Al2TcMo, from Alexandria.

Summary:
For the formation energy, the calculation gives -0.142 eV/atom. The value obtained for the total energy is -86.02 eV per cell.

Cell lengths 4.0997, 4.0997, 3.4211 Å; angles 90.00, 90.00, 90.00 degrees
With the nearest neighbours (Å) after each atom.
Positions (direct):
Al 0.0000 0.5000 0.0000  4 Mo 2.67, 4 Tc 2.67, 4 Al 2.90
Al 0.5000 0.0000 0.0000  4 Mo 2.67, 4 Tc 2.67, 4 Al 2.90
Tc 0.0000 0.0000 0.5000  8 Al 2.67, 4 Mo 2.90
Mo 0.5000 0.5000 0.5000  8 Al 2.67, 4 Tc 2.90

***

The following is a SCAN calculation of a PBEsol-optimized structure of BaCaIN2, from Alexandria.

Summary:
The value obtained for the total energy is -101.59 eV per cell. The formation energy without anion corrections is 0.59 eV per atom.

Cell lengths 4.6740, 4.6740, 6.3759 Å; angles 90.00, 90.00, 90.00 degrees
With the nearest neighbours (Å) after each atom.
Positions (direct):
Ba 0.0000 0.0000 0.0000  4 N 2.34
Ca 0.5000 0.5000 0.5000  4 I 3.30
I 0.0000 0.0000 0.5000  2 Ba 3.19, 4 Ca 3.30
N 0.0000 0.5000 0.0000  2 Ba 2.34
N 0.5000 0.0000 0.0000  2 Ba 2.34

***

The following is a SCAN calculation of a PBEsol-optimized structure of BaMo2HW, from Alexandria.

Summary:
The value obtained for the total energy is -174.64 eV per cell.

Cell lengths 5.0073, 5.0073, 3.5757 Å; angles 90.00, 90.00, 90.00 degrees
With the nearest neighbours (Å) after each atom.
Positions (direct):
Ba 0.0000 0.0000 0.0000  8 Mo 3.08
Mo 0.0000 0.5000 0.5000  2 W 2.50
Mo 0.5000 0.0000 0.5000  2 W 2.50
H 0.5000 0.5000 0.0000  2 W 1.79
W 0.5000 0.5000 0.5000  2 H 1.79